[1]
Pr3Ga2Ni9Ge | PBE | optimized geometry

Unit cell a=6.0846 b=6.0846 c=8.3881 alpha=90.00 beta=90.00 gamma=120.00
Atoms (fractional coordinates):
Pr  0.0000  0.0000  0.0000
Pr  0.3333  0.6667  0.6727
Pr  0.6667  0.3333  0.3273
Ga  0.3333  0.6667  0.1890
Ga  0.6667  0.3333  0.8110
Ni  0.0000  0.5000  0.0000
Ni  0.1343  0.2686  0.2837
Ni  0.1343  0.8657  0.2837
Ni  0.2686  0.1343  0.7163
Ni  0.5000  0.0000  0.0000
Ni  0.5000  0.5000  0.0000
Ni  0.7314  0.8657  0.2837
Ni  0.8657  0.1343  0.7163
Ni  0.8657  0.7314  0.7163
Ge  0.0000  0.0000  0.5000

Summary:
- formation energy (eV per atom) = -0.140

[2]
Tb6AsP4 | PBE | optimized geometry

Unit cell a=6.9108 b=6.9108 c=20.1355 alpha=90.00 beta=90.00 gamma=146.20
Atoms (fractional coordinates):
Tb  0.0000  0.0000  0.0000
Tb  0.0000  0.0000  0.5000
Tb  0.1807  0.8193  0.7500
Tb  0.2737  0.7263  0.0819
Tb  0.2737  0.7263  0.4181
Tb  0.4570  0.5430  0.6623
Tb  0.4570  0.5430  0.8377
Tb  0.5430  0.4570  0.1623
Tb  0.5430  0.4570  0.3377
Tb  0.7263  0.2737  0.5819
Tb  0.7263  0.2737  0.9181
Tb  0.8193  0.1807  0.2500
As  0.1616  0.8384  0.2500
As  0.8384  0.1616  0.7500
P  0.0919  0.9081  0.6275
P  0.0919  0.9081  0.8725
P  0.3633  0.6367  0.5430
P  0.3633  0.6367  0.9570
P  0.6367  0.3633  0.0430
P  0.6367  0.3633  0.4570
P  0.9081  0.0919  0.1275
P  0.9081  0.0919  0.3725

Summary:
- formation energy (eV per atom) = -1.465